# 1
Here is Sr2ZrTaNb after structural relaxation from Alexandria. Energies are from PBE-GGA.

Calculated values
N(E_F)	7.20	states/eV per cell
total DFT energy (no corrections)	-24.42	eV for the cell shown
total magnetic moment	0.780	μB/atom
DFT formation energy	1.882	eV per atom

```
data_Sr2ZrTaNb
_space_group_name_H-M_alt 'P 4/m m m'
_space_group_IT_number 123
_space_group_name_Hall '-P 4 2'
_cell_length_a 5.9446
_cell_length_b 5.9446
_cell_length_c 4.8692
_cell_angle_alpha 90.00
_cell_angle_beta 90.00
_cell_angle_gamma 90.00
loop_
_atom_site_label
_atom_site_type_symbol
_atom_site_fract_x
_atom_site_fract_y
_atom_site_fract_z
_atom_site_occupancy
Sr1 Sr 0.0000 0.5000 0.0000 1
Zr1 Zr 0.0000 0.0000 0.0000 1
Ta1 Ta 0.5000 0.5000 0.5000 1
Nb1 Nb 0.0000 0.0000 0.5000 1
```

# 2
Here is SrNbTc2 after structural relaxation from Alexandria. Energies are from PBE-GGA.

Calculated values
N(E_F)	19.79	states/eV per cell
total DFT energy (no corrections)	-118.47	eV for the cell shown
total magnetic moment	0.000	μB/atom
DFT formation energy	0.717	eV per atom
distance to the lowest polymorph of the same formula	0	meV per atom

```
data_SrNbTc2
_space_group_name_H-M_alt 'F m -3 m'
_space_group_IT_number 225
_space_group_name_Hall '-F 4 2 3'
_cell_length_a 6.6848
_cell_length_b 6.6848
_cell_length_c 6.6848
_cell_angle_alpha 90.00
_cell_angle_beta 90.00
_cell_angle_gamma 90.00
loop_
_atom_site_label
_atom_site_type_symbol
_atom_site_fract_x
_atom_site_fract_y
_atom_site_fract_z
_atom_site_occupancy
Sr1 Sr 0.0000 0.0000 0.0000 1
Nb1 Nb 0.0000 0.0000 0.5000 1
Tc1 Tc 0.2500 0.2500 0.2500 1
```